# Tl3V2PbF9 PBE with a Hubbard U relaxed
# **E_tot**: -76.33 eV/f.u.
# **Symmetry**: No. 164
# **Volume**: 17.79 A^3/atom
data_Tl3V2PbF9
_chemical_formula_sum 'Tl3 V2 Pb1 F9'
_space_group_name_H-M_alt 'P 1'
_space_group_IT_number 1
_space_group_name_Hall 'P 1'
_cell_length_a 6.217
_cell_length_b 6.217
_cell_length_c 7.972
_cell_angle_alpha 90.00
_cell_angle_beta 90.00
_cell_angle_gamma 120.00
loop_
_atom_site_label
_atom_site_fract_x
_atom_site_fract_y
_atom_site_fract_z
Tl1 0.000 0.000 0.000
Tl2 0.333 0.667 0.710
Tl3 0.667 0.333 0.290
V1 0.333 0.667 0.152
V2 0.667 0.333 0.848
Pb1 0.000 0.000 0.500
F1 0.000 0.500 0.000
F2 0.173 0.347 0.302
F3 0.173 0.827 0.302
F4 0.347 0.173 0.698
F5 0.500 0.000 0.000
F6 0.500 0.500 0.000
F7 0.653 0.827 0.302
F8 0.827 0.173 0.698
F9 0.827 0.653 0.698

# TlVPbF6 PBE with a Hubbard U relaxed
# **E_tot**: -46.97 eV/f.u.
# **Symmetry**: No. 1
# **DOS at the Fermi energy**: 0.00 states/eV/cell
# **Volume**: 16.68 A^3/atom
data_TlVPbF6
_chemical_formula_sum 'Tl1 V1 Pb1 F6'
_space_group_name_H-M_alt 'P 1'
_space_group_IT_number 1
_space_group_name_Hall 'P 1'
_cell_length_a 4.778
_cell_length_b 5.784
_cell_length_c 6.174
_cell_angle_alpha 62.07
_cell_angle_beta 84.94
_cell_angle_gamma 88.81
loop_
_atom_site_label
_atom_site_fract_x
_atom_site_fract_y
_atom_site_fract_z
Tl1 0.000 0.000 0.000
V1 0.218 0.683 0.623
Pb1 0.612 0.312 0.394
F1 0.003 0.490 0.486
F2 0.451 0.890 0.727
F3 0.458 0.814 0.312
F4 0.459 0.368 0.748
F5 0.997 0.010 0.463
F6 0.997 0.537 0.940

# Tl2V3PbF12 PBE with a Hubbard U relaxed
# **E_tot**: -99.09 eV/f.u.
# **Symmetry**: No. 166
# **DOS at the Fermi energy**: 4.86 states/eV/cell
# **Volume**: 17.06 A^3/atom
data_Tl2V3PbF12
_chemical_formula_sum 'Tl2 V3 Pb1 F12'
_space_group_name_H-M_alt 'P 1'
_space_group_IT_number 1
_space_group_name_Hall 'P 1'
_cell_length_a 7.432
_cell_length_b 7.432
_cell_length_c 7.432
_cell_angle_alpha 62.60
_cell_angle_beta 62.60
_cell_angle_gamma 62.60
loop_
_atom_site_label
_atom_site_fract_x
_atom_site_fract_y
_atom_site_fract_z
Tl1 0.126 0.126 0.126
Tl2 0.874 0.874 0.874
V1 0.000 0.500 0.500
V2 0.500 0.000 0.500
V3 0.500 0.500 0.000
Pb1 0.500 0.500 0.500
F1 0.092 0.622 0.622
F2 0.219 0.219 0.594
F3 0.219 0.594 0.219
F4 0.378 0.378 0.908
F5 0.378 0.908 0.378
F6 0.406 0.781 0.781
F7 0.594 0.219 0.219
F8 0.622 0.092 0.622
F9 0.622 0.622 0.092
F10 0.781 0.406 0.781
F11 0.781 0.781 0.406
F12 0.908 0.378 0.378

Which value of E_tot does entry 2 give? -46.97 eV/f.u.

Which formula does entry 2 have? TlVPbF6

Copy entry 1 word for word.
# Tl3V2PbF9 PBE with a Hubbard U relaxed
# **E_tot**: -76.33 eV/f.u.
# **Symmetry**: No. 164
# **Volume**: 17.79 A^3/atom
data_Tl3V2PbF9
_chemical_formula_sum 'Tl3 V2 Pb1 F9'
_space_group_name_H-M_alt 'P 1'
_space_group_IT_number 1
_space_group_name_Hall 'P 1'
_cell_length_a 6.217
_cell_length_b 6.217
_cell_length_c 7.972
_cell_angle_alpha 90.00
_cell_angle_beta 90.00
_cell_angle_gamma 120.00
loop_
_atom_site_label
_atom_site_fract_x
_atom_site_fract_y
_atom_site_fract_z
Tl1 0.000 0.000 0.000
Tl2 0.333 0.667 0.710
Tl3 0.667 0.333 0.290
V1 0.333 0.667 0.152
V2 0.667 0.333 0.848
Pb1 0.000 0.000 0.500
F1 0.000 0.500 0.000
F2 0.173 0.347 0.302
F3 0.173 0.827 0.302
F4 0.347 0.173 0.698
F5 0.500 0.000 0.000
F6 0.500 0.500 0.000
F7 0.653 0.827 0.302
F8 0.827 0.173 0.698
F9 0.827 0.653 0.698

Number 1 is which compound? Tl3V2PbF9